UInSb2 | PBE | relaxed

abc: 4.113 4.934 4.934
angles: 90.00 90.00 90.00
Last column: magnetic moment on the atom in μB.
Sites, in units of the cell vectors:
U  0.500  0.000  0.000  1.92
In  0.500  0.500  0.500  -0.01
Sb  0.000  0.000  0.500  -0.05
Sb  0.000  0.500  0.000  -0.05

Formation energy (no corrections) = -0.18 eV/atom
Energy above the lowest structure with this stoichiometry = 0.0000 eV per atom
E_tot = -5.745 eV per atom